# 1
# KAuSO6 | Alexandria | GGA-PBE | relaxed
data_KAuSO6
_cell_length_a 5.0154
_cell_length_b 5.0154
_cell_length_c 5.9713
_cell_angle_alpha 90.00
_cell_angle_beta 90.00
_cell_angle_gamma 120.00
_space_group_name_H-M_alt 'P 3 1 2'
_space_group_IT_number 149
_space_group_name_Hall 'P 3 2'
loop_
_atom_site_label
_atom_site_fract_x
_atom_site_fract_y
_atom_site_fract_z
K1 0.0000 0.0000 0.0000
Au1 0.3333 0.6667 0.5000
S1 0.6667 0.3333 0.5000
O1 0.4037 0.0580 0.6664
# - Calculated total energy: -44.30 eV/cell
# - Formation energy from raw total energies: -0.672 eV/atom

# 2
# K6Au2SO | Alexandria | GGA-PBE | relaxed
data_K6Au2SO
_cell_length_a 7.798
_cell_length_b 8.038
_cell_length_c 13.598
_cell_angle_alpha 90.00
_cell_angle_beta 124.92
_cell_angle_gamma 90.00
_space_group_name_H-M_alt 'P 1 21/c 1'
_space_group_IT_number 14
_space_group_name_Hall '-P 2ybc'
loop_
_atom_site_label
_atom_site_fract_x
_atom_site_fract_y
_atom_site_fract_z
K1 0.141 0.223 0.456
K2 0.236 0.688 0.459
K3 0.312 0.024 0.231
Au1 0.235 0.055 0.750
S1 0.500 0.000 0.500
O1 0.000 0.000 0.000
# - Calculated total energy: -58.93 eV/cell
# - Formation energy from raw total energies: -0.724 eV/atom

# 3
# K8SbAu2O | Alexandria | GGA-PBE | relaxed
data_K8SbAu2O
_cell_length_a 6.085
_cell_length_b 10.346
_cell_length_c 7.806
_cell_angle_alpha 90.00
_cell_angle_beta 99.33
_cell_angle_gamma 90.00
_space_group_name_H-M_alt 'P 1 2/m 1'
_space_group_IT_number 10
_space_group_name_Hall '-P 2y'
loop_
_atom_site_label
_atom_site_fract_x
_atom_site_fract_y
_atom_site_fract_z
K1 0.026 0.000 0.250
K2 0.117 0.500 0.802
K3 0.450 0.291 0.223
Sb1 0.500 0.000 0.000
Au1 0.000 0.276 0.500
O1 0.500 0.500 0.000
# - Calculated total energy: -29.70 eV/cell
# - Formation energy from raw total energies: -0.440 eV/atom

# 4
# K2ScAuO4 | Alexandria | GGA-PBE | relaxed
data_K2ScAuO4
_cell_length_a 5.975
_cell_length_b 13.928
_cell_length_c 21.396
_cell_angle_alpha 90.00
_cell_angle_beta 90.00
_cell_angle_gamma 90.00
_space_group_name_H-M_alt 'F d d d'
_space_group_IT_number 70
loop_
_space_group_symop_operation_xyz
'x,y,z'
'-x,-y,-z'
'-x+1/4,-y+1/4,z'
'x+1/4,y+1/4,-z'
'x,-y+1/4,-z+1/4'
'-x,y+1/4,z+1/4'
'-x+1/4,y,-z+1/4'
'x+1/4,-y,z+1/4'
'x,y+1/2,z+1/2'
'-x,-y+1/2,-z+1/2'
'-x+1/4,-y+3/4,z+1/2'
'x+1/4,y+3/4,-z+1/2'
'x,-y+3/4,-z+3/4'
'-x,y+3/4,z+3/4'
'-x+1/4,y+1/2,-z+3/4'
'x+1/4,-y+1/2,z+3/4'
'x+1/2,y,z+1/2'
'-x+1/2,-y,-z+1/2'
'-x+3/4,-y+1/4,z+1/2'
'x+3/4,y+1/4,-z+1/2'
'x+1/2,-y+1/4,-z+3/4'
'-x+1/2,y+1/4,z+3/4'
'-x+3/4,y,-z+3/4'
'x+3/4,-y,z+3/4'
'x+1/2,y+1/2,z'
'-x+1/2,-y+1/2,-z'
'-x+3/4,-y+3/4,z'
'x+3/4,y+3/4,-z'
'x+1/2,-y+3/4,-z+1/4'
'-x+1/2,y+3/4,z+1/4'
'-x+3/4,y+1/2,-z+1/4'
'x+3/4,-y+1/2,z+1/4'
loop_
_atom_site_label
_atom_site_fract_x
_atom_site_fract_y
_atom_site_fract_z
K1 0.125 0.125 0.316
Sc1 0.125 0.125 0.125
Au1 0.125 0.125 0.625
O1 0.122 0.276 0.380
# - Calculated total energy: -344.88 eV/cell
# - Formation energy from raw total energies: -1.434 eV/atom

# 5
# KSc2AuO | Alexandria | GGA-PBE | relaxed
data_KSc2AuO
_cell_length_a 5.175
_cell_length_b 5.175
_cell_length_c 5.125
_cell_angle_alpha 90.00
_cell_angle_beta 90.00
_cell_angle_gamma 90.00
_space_group_name_H-M_alt 'P 4/m m m'
_space_group_IT_number 123
_space_group_name_Hall '-P 4 2'
loop_
_atom_site_label
_atom_site_fract_x
_atom_site_fract_y
_atom_site_fract_z
K1 0.000 0.000 0.000
Sc1 0.000 0.500 0.500
Au1 0.500 0.500 0.500
O1 0.500 0.500 0.000
# - Calculated total energy: -20.12 eV/cell
# - Formation energy from raw total energies: 0.375 eV/atom

# 6
# K6Au2SeO | Alexandria | GGA-PBE | relaxed
data_K6Au2SeO
_cell_length_a 7.846
_cell_length_b 8.200
_cell_length_c 13.689
_cell_angle_alpha 90.00
_cell_angle_beta 124.86
_cell_angle_gamma 90.00
_space_group_name_H-M_alt 'P 1 21/c 1'
_space_group_IT_number 14
_space_group_name_Hall '-P 2ybc'
loop_
_atom_site_label
_atom_site_fract_x
_atom_site_fract_y
_atom_site_fract_z
K1 0.129 0.035 0.226
K2 0.228 0.724 0.053
K3 0.323 0.179 0.047
Au1 0.271 0.064 0.751
Se1 0.500 0.000 0.500
O1 0.000 0.000 0.000
# - Calculated total energy: -57.77 eV/cell
# - Formation energy from raw total energies: -0.730 eV/atom

# 7
# K5AuSeO2 | Alexandria | GGA-PBE | relaxed
data_K5AuSeO2
_cell_length_a 5.357
_cell_length_b 5.357
_cell_length_c 9.236
_cell_angle_alpha 90.00
_cell_angle_beta 90.00
_cell_angle_gamma 90.00
_space_group_name_H-M_alt 'P 4/m m m'
_space_group_IT_number 123
_space_group_name_Hall '-P 4 2'
loop_
_atom_site_label
_atom_site_fract_x
_atom_site_fract_y
_atom_site_fract_z
K1 0.000 0.000 0.000
K2 0.000 0.500 0.250
Au1 0.000 0.000 0.500
Se1 0.500 0.500 0.000
O1 0.000 0.000 0.280
# - Calculated total energy: -31.93 eV/cell
# - Formation energy from raw total energies: -1.085 eV/atom

# 8
# KAuSe2O8 | Alexandria | GGA-PBE | relaxed
data_KAuSe2O8
_cell_length_a 5.1388
_cell_length_b 5.1388
_cell_length_c 26.6966
_cell_angle_alpha 90.00
_cell_angle_beta 90.00
_cell_angle_gamma 120.00
_space_group_name_H-M_alt 'R 3 2'
_space_group_IT_number 155
_space_group_name_Hall 'R 3 2"'
loop_
_atom_site_label
_atom_site_fract_x
_atom_site_fract_y
_atom_site_fract_z
K1 0.0000 0.0000 0.0000
Au1 0.0000 0.0000 0.5000
Se1 0.0000 0.0000 0.2419
O1 0.0000 0.0000 0.3039
O2 0.0094 0.3661 0.8884
# - Calculated total energy: -172.91 eV/cell
# - Formation energy from raw total energies: -0.552 eV/atom